Compound: KBaLaWO6
Source: Alexandria via LeMat-Bulk
Functional: PBE+U
Structure: relaxed

a b c (Å): 6.1397 6.1397 6.1397
angles (deg): 60.00 60.00 60.00
Last column: nearest neighbours and their distance in Å.
Fractional coordinates of all 10 atoms:
K 0.0000 0.0000 0.0000  12 O 3.08
Ba 0.5000 0.5000 0.5000  12 O 3.08
La 0.2500 0.2500 0.2500  6 O 2.38
W 0.7500 0.7500 0.7500  6 O 1.96
O 0.5242 0.5242 0.9758  1 W 1.96
O 0.5242 0.9758 0.5242  1 W 1.96
O 0.5242 0.9758 0.9758  1 W 1.96
O 0.9758 0.5242 0.5242  1 W 1.96
O 0.9758 0.5242 0.9758  1 W 1.96
O 0.9758 0.9758 0.5242  1 W 1.96

E_tot (eV per cell): -71.15
Calculated volume (Å³/cell): 163.7